Density functional theory data (PBE-GGA) for an optimized crystal structure of Li2InHg6.

Cell lengths 3.248, 6.692, 10.269 Å; angles 76.42, 80.90, 75.95 degrees
Sites, in units of the cell vectors:
Li: 0.334 0.055 0.276
Li: 0.666 0.945 0.724
Hg: 0.740 0.391 0.129
Hg: 0.986 0.309 0.720
Hg: 0.352 0.753 0.543
Hg: 0.260 0.609 0.871
Hg: 0.014 0.691 0.280
Hg: 0.648 0.247 0.457
In: 0.000 0.000 0.000

Calculated values
Polymorph energy (0 for the lowest one) (eV per atom): 0.0000
DFT formation energy (meV per atom): -145


Density functional theory data (PBE-GGA) for an optimized crystal structure of KAs2Cl.

Cell lengths 7.598, 3.710, 4.638 Å; angles 90.07, 90.00, 90.00 degrees
Sites, in units of the cell vectors:
Cl: 0.500 0.250 0.250
As: 0.000 0.502 0.584
As: 0.000 0.998 0.916
K: 0.500 0.750 0.750

Calculated values
Polymorph energy (0 for the lowest one) (eV per atom): 0.0478


Density functional theory data (PBE-GGA) for an optimized crystal structure of Y2TcPbC.

Cell lengths 5.019, 5.019, 4.068 Å; angles 90.00, 90.00, 90.00 degrees
Sites, in units of the cell vectors:
Y: 0.000 0.500 0.000
Y: 0.500 0.000 0.000
Tc: 0.000 0.000 0.500
Pb: 0.500 0.500 0.500
C: 0.000 0.000 0.000

Calculated values
DFT formation energy (meV per atom): -346


Density functional theory data (PBE-GGA) for an optimized crystal structure of Ho2PtSe.

Cell lengths 4.027, 4.027, 7.448 Å; angles 74.32, 74.32, 60.00 degrees
Sites, in units of the cell vectors:
Se: 0.499 0.499 0.502
Ho: 0.074 0.074 0.777
Ho: 0.260 0.260 0.221
Pt: 0.667 0.667 0.999

Calculated values
Polymorph energy (0 for the lowest one) (eV per atom): 0.0699


Density functional theory data (PBE-GGA) for an optimized crystal structure of Dy6HoMg.

Cell lengths 8.494, 9.385, 6.330 Å; angles 42.11, 47.80, 56.36 degrees
Sites, in units of the cell vectors:
Dy: 0.513 0.754 0.688
Dy: 0.044 0.513 0.196
Dy: 0.754 0.956 0.777
Dy: 0.487 0.246 0.312
Dy: 0.246 0.044 0.223
Dy: 0.956 0.487 0.804
Ho: 0.500 0.500 0.500
Mg: 0.000 0.000 0.000

Calculated values
Polymorph energy (0 for the lowest one) (eV per atom): 0.1090
DFT formation energy (meV per atom): 135


Density functional theory data (PBE-GGA) for an optimized crystal structure of AcLaGeRu.

Cell lengths 5.287, 5.287, 5.287 Å; angles 60.00, 60.00, 60.00 degrees
Sites, in units of the cell vectors:
Ru: 0.750 0.750 0.750
Ge: 0.250 0.250 0.250
Ac: 0.000 0.000 0.000
La: 0.500 0.500 0.500

Calculated values
Polymorph energy (0 for the lowest one) (eV per atom): 0.2421
DFT formation energy (meV per atom): -242


Density functional theory data (PBE-GGA) for an optimized crystal structure of Ho2AlF.

Cell lengths 3.581, 3.581, 7.732 Å; angles 76.61, 76.61, 60.00 degrees
Sites, in units of the cell vectors:
Ho: 0.735 0.735 0.795
Ho: 0.265 0.265 0.205
Al: 0.500 0.500 0.500
F: 0.000 0.000 0.000

Calculated values
Final energy (eV/atom): -4.9240


Density functional theory data (PBE-GGA) for an optimized crystal structure of NdEuGe2.

Cell lengths 3.475, 3.475, 8.305 Å; angles 90.00, 90.00, 90.00 degrees
Site moments in Bohr magnetons follow the coordinates.
Sites, in units of the cell vectors:
Eu: 0.500 0.500 0.000  -6.79
Nd: 0.500 0.500 0.500  0.02
Ge: 0.000 0.000 0.252  0.03
Ge: 0.000 0.000 0.748  0.03

Calculated values
Polymorph energy (0 for the lowest one) (eV per atom): 0.0000
DFT formation energy (meV per atom): -592


no.,total moment (μB per cell)
1,0.00
2,0.00
3,0.00
4,0.00
5,0.00
6,0.00
7,0.00
8,6.88